Entry from Alexandria via LeMat-Bulk: crystalline NaLiF3 at its relaxed geometry (PBE-GGA).

Results
Total moment   0.06 μB/f.u.
Energy above the lowest structure with this stoichiometry   0.0000 eV/atom
E_form (uncorrected)   -11.09 eV per formula unit
Calculated volume   126 Å³/cell

a b c (Å): 4.0253 4.2418 7.6363
angles (deg): 90.00 105.23 90.00
Last column: nearest neighbours and their distance in Å.
Fractional coordinates of all 10 atoms:
Na (0.1675, 0.2500, 0.3353)  8 F 2.35-2.54
Na (0.8325, 0.7500, 0.6647)  8 F 2.35-2.54
Li (0.4359, 0.2500, 0.8735)  3 F 1.86-1.97
Li (0.5641, 0.7500, 0.1265)  3 F 1.86-1.97
F (0.0704, 0.2500, 0.6437)  1 Li 1.97, 2 F 2.00-2.02
F (0.4268, 0.7500, 0.3561)  1 Li 1.97, 2 F 2.00-2.02
F (0.4346, 0.7500, 0.8737)  1 Li 1.86
F (0.5654, 0.2500, 0.1263)  1 Li 1.86
F (0.5732, 0.2500, 0.6439)  1 Li 1.97, 2 F 2.00-2.02
F (0.9296, 0.7500, 0.3563)  1 Li 1.97, 2 F 2.00-2.02